(1)
# PaReBi

A geometry-optimized PaReBi structure (PBE, the Alexandria database).

a = 7.8382 Å, b = 7.8382 Å, c = 7.8382 Å
α = 146.50°, β = 146.50°, γ = 48.11°
Last column: nearest neighbours and their distance in Å.
Positions (direct):
Pa 0.1256 0.1256 0.0000  4 Re 2.89, 4 Bi 3.20
Pa 0.8744 0.8744 0.0000  4 Re 2.89, 4 Bi 3.20
Re 0.0000 0.5000 0.5000  4 Pa 2.89, 4 Bi 3.02, 4 Re 3.19
Re 0.5000 0.0000 0.5000  4 Pa 2.89, 4 Bi 3.02, 4 Re 3.19
Bi 0.3598 0.3598 0.0000  4 Re 3.02, 5 Pa 3.20-3.35
Bi 0.6402 0.6402 0.0000  4 Re 3.02, 5 Pa 3.20-3.35

calculated volume	24.35	A^3/atom
total magnetic moment	0.00	μB/cell
formation energy	41	meV/atom
symmetry	I4/mmm (139)
uncorrected energy	-51.404	eV for the cell shown

(2)
# PaReBi

A geometry-optimized PaReBi structure (PBE, the Alexandria database).

a = 6.4732 Å, b = 6.4732 Å, c = 6.4732 Å
α = 149.71°, β = 149.71°, γ = 43.36°
Last column: nearest neighbours and their distance in Å.
Positions (direct):
Pa 0.0000 0.0000 0.0000  4 Re 2.91
Re 0.6379 0.6379 0.0000  4 Pa 2.91, 4 Bi 2.99
Bi 0.2872 0.2872 0.0000  4 Re 2.99

calculated volume	22.93	A^3/atom
total magnetic moment	0.00	μB/cell
formation energy	204	meV/atom
symmetry	I4mm (107)
uncorrected energy	-25.214	eV for the cell shown